[1]
! PBE BaLuScSe3, relaxed; values from VASP
&SYSTEM
  ibrav = 0, nat = 12, ntyp = 4
/
ATOMIC_SPECIES
Ba 137.33 Ba.upf
Lu 174.97 Lu.upf
Sc 44.96 Sc.upf
Se 78.96 Se.upf
ATOMIC_POSITIONS crystal
Ba 0.2437 0.7563 0.7500
Ba 0.7563 0.2437 0.2500
Lu 0.5000 0.5000 0.0000
Lu 0.5000 0.5000 0.5000
Sc 0.0348 0.9652 0.2500
Sc 0.9652 0.0348 0.7500
Se 0.1325 0.8675 0.0476
Se 0.1325 0.8675 0.4524
Se 0.4248 0.5752 0.2500
Se 0.5752 0.4248 0.7500
Se 0.8675 0.1325 0.5476
Se 0.8675 0.1325 0.9524
CELL_PARAMETERS angstrom
2.1030 -7.2829 0.0000
2.1030 7.2829 0.0000
0.0000 0.0000 10.6685
! crystal system = orthorhombic
! theoretical density = 6.038 g/cm3
! energy = -5.49 eV per atom



[2]
! PBE HfZn2Ag2, relaxed; values from VASP
&SYSTEM
  ibrav = 0, nat = 5, ntyp = 3
/
ATOMIC_SPECIES
Hf 178.49 Hf.upf
Zn 65.41 Zn.upf
Ag 107.87 Ag.upf
ATOMIC_POSITIONS crystal
Hf 0.0000 0.0000 0.0000
Zn 0.2500 0.7500 0.5000
Zn 0.7500 0.2500 0.5000
Ag 0.3953 0.3953 0.0000
Ag 0.6047 0.6047 0.0000
CELL_PARAMETERS angstrom
-1.8937 1.8937 6.2579
1.8937 -1.8937 6.2579
1.8937 1.8937 -6.2579
! E above lowest polymorph = 0.20 eV/f.u.
! crystal system = tetragonal
! theoretical density = 9.713 g/cm3
! energy = -3.51 eV per atom
! DFT formation energy = 11.1 kJ/mol of atoms



[3]
! PBE NaPrCoS3, relaxed; values from VASP
&SYSTEM
  ibrav = 0, nat = 24, ntyp = 4
/
ATOMIC_SPECIES
Na 22.99 Na.upf
Pr 140.91 Pr.upf
Co 58.93 Co.upf
S 32.06 S.upf
ATOMIC_POSITIONS crystal
Na 0.1578 0.2500 0.0110
Na 0.3422 0.7500 0.5110
Na 0.6578 0.2500 0.4890
Na 0.8422 0.7500 0.9890
Pr 0.0214 0.2500 0.6768
Pr 0.4786 0.7500 0.1768
Pr 0.5214 0.2500 0.8232
Pr 0.9786 0.7500 0.3232
Co 0.2451 0.2500 0.2910
Co 0.2549 0.7500 0.7910
Co 0.7451 0.2500 0.2090
Co 0.7549 0.7500 0.7090
S 0.0623 0.7500 0.8491
S 0.1173 0.2500 0.4409
S 0.2147 0.7500 0.1966
S 0.2853 0.2500 0.6966
S 0.3827 0.7500 0.9409
S 0.4377 0.2500 0.3491
S 0.5623 0.7500 0.6509
S 0.6173 0.2500 0.0591
S 0.7147 0.7500 0.3034
S 0.7853 0.2500 0.8034
S 0.8827 0.7500 0.5591
S 0.9377 0.2500 0.1509
CELL_PARAMETERS angstrom
11.1730 0.0000 0.0000
0.0000 4.0143 0.0000
0.0000 0.0000 11.5272
! E above lowest polymorph = 0.00 eV/f.u.
! crystal system = orthorhombic
! theoretical density = 4.099 g/cm3
! energy = -5.46 eV per atom



[4]
! PBE TbTlCdTe3, relaxed; values from VASP
&SYSTEM
  ibrav = 0, nat = 12, ntyp = 4
/
ATOMIC_SPECIES
Tb 158.93 Tb.upf
Tl 204.38 Tl.upf
Cd 112.41 Cd.upf
Te 127.60 Te.upf
ATOMIC_POSITIONS crystal
Tb 0.1756 0.1756 0.0881
Tb 0.8244 0.8244 0.9119
Tl 0.1365 0.1365 0.5721
Tl 0.8635 0.8635 0.4279
Cd 0.4792 0.4792 0.7826
Cd 0.5208 0.5208 0.2174
Te 0.0000 0.0000 0.0000
Te 0.3258 0.3258 0.6944
Te 0.3375 0.3375 0.1368
Te 0.5000 0.5000 0.5000
Te 0.6625 0.6625 0.8632
Te 0.6742 0.6742 0.3056
CELL_PARAMETERS angstrom
9.6401 -2.2242 0.0000
9.6401 2.2242 0.0000
-2.3054 0.0000 9.5406
! E above lowest polymorph = 0.43 eV/f.u.
! crystal system = monoclinic
! theoretical density = 6.969 g/cm3
! energy = -3.64 eV per atom



[5]
! PBE GaNi2Pd, relaxed; values from VASP
&SYSTEM
  ibrav = 0, nat = 4, ntyp = 3
/
ATOMIC_SPECIES
Ga 69.72 Ga.upf
Ni 58.69 Ni.upf
Pd 106.42 Pd.upf
ATOMIC_POSITIONS crystal
Ga 0.0000 0.0000 0.0000
Ni 0.2500 0.2500 0.2500
Ni 0.5000 0.5000 0.5000
Pd 0.7500 0.7500 0.7500
CELL_PARAMETERS angstrom
0.0000 2.9454 2.9454
2.9454 0.0000 2.9454
2.9454 2.9454 0.0000
! crystal system = cubic
! theoretical density = 9.537 g/cm3
! energy = -5.13 eV per atom



[6]
! PBE KCuSiTe3, relaxed; values from VASP
&SYSTEM
  ibrav = 0, nat = 12, ntyp = 4
/
ATOMIC_SPECIES
K 39.10 K.upf
Cu 63.55 Cu.upf
Si 28.09 Si.upf
Te 127.60 Te.upf
ATOMIC_POSITIONS crystal
K 0.2450 0.7550 0.7500
K 0.7550 0.2450 0.2500
Cu 0.0645 0.9355 0.2500
Cu 0.9355 0.0645 0.7500
Si 0.5000 0.5000 0.0000
Si 0.5000 0.5000 0.5000
Te 0.1245 0.8755 0.0353
Te 0.1245 0.8755 0.4647
Te 0.4514 0.5486 0.2500
Te 0.5486 0.4514 0.7500
Te 0.8755 0.1245 0.5353
Te 0.8755 0.1245 0.9647
CELL_PARAMETERS angstrom
1.9152 -7.8904 0.0000
1.9152 7.8904 0.0000
0.0000 0.0000 11.1162
! E above lowest polymorph = 0.37 eV/f.u.
! crystal system = orthorhombic
! theoretical density = 5.076 g/cm3
! energy = -3.51 eV per atom



[7]
! PBE Zr2Al2NiC3, relaxed; values from VASP
&SYSTEM
  ibrav = 0, nat = 8, ntyp = 4
/
ATOMIC_SPECIES
Zr 91.22 Zr.upf
Al 26.98 Al.upf
Ni 58.69 Ni.upf
C 12.01 C.upf
ATOMIC_POSITIONS crystal
Zr 0.0000 0.0000 0.0000
Zr 0.3333 0.6667 0.4820
Al 0.6667 0.3333 0.2402
Al 0.6667 0.3333 0.7842
Ni 0.0000 0.0000 0.6725
C 0.0000 0.0000 0.4317
C 0.3333 0.6667 0.1700
C 0.3333 0.6667 0.7868
CELL_PARAMETERS angstrom
3.5822 0.0000 0.0000
-1.7911 3.1023 0.0000
0.0000 0.0000 8.8936
! crystal system = trigonal
! theoretical density = 5.563 g/cm3
! energy = -7.21 eV per atom



[8]
! PBE NaLiNpS3, relaxed; values from VASP
&SYSTEM
  ibrav = 0, nat = 12, ntyp = 4
/
ATOMIC_SPECIES
Na 22.99 Na.upf
Li 6.94 Li.upf
Np 237.00 Np.upf
S 32.06 S.upf
ATOMIC_POSITIONS crystal
Na 0.2394 0.7606 0.7500
Na 0.7606 0.2394 0.2500
Li 0.0302 0.9698 0.2500
Li 0.9698 0.0302 0.7500
Np 0.5000 0.5000 0.0000
Np 0.5000 0.5000 0.5000
S 0.1315 0.8685 0.0606
S 0.1315 0.8685 0.4394
S 0.4292 0.5708 0.2500
S 0.5708 0.4292 0.7500
S 0.8685 0.1315 0.5606
S 0.8685 0.1315 0.9394
CELL_PARAMETERS angstrom
2.0029 -6.2739 0.0000
2.0029 6.2739 0.0000
0.0000 0.0000 10.3822
! crystal system = orthorhombic
! theoretical density = 4.622 g/cm3
! energy = -6.03 eV per atom



[9]
! PBE Hf2In, relaxed; values from VASP
&SYSTEM
  ibrav = 0, nat = 6, ntyp = 2
/
ATOMIC_SPECIES
Hf 178.49 Hf.upf
In 114.82 In.upf
ATOMIC_POSITIONS crystal
Hf 0.0000 0.0000 0.0000
Hf 0.0000 0.0000 0.5000
Hf 0.0000 0.5000 0.0000
Hf 0.5000 0.0000 0.0000
In 0.1250 0.1250 0.1250
In 0.8750 0.8750 0.8750
CELL_PARAMETERS angstrom
0.0000 6.2668 6.2668
6.2668 0.0000 6.2668
6.2668 6.2668 0.0000
! crystal system = cubic
! theoretical density = 3.183 g/cm3
! energy = -4.51 eV per atom



[10]
! PBE TmZrPbSe3, relaxed; values from VASP
&SYSTEM
  ibrav = 0, nat = 12, ntyp = 4
/
ATOMIC_SPECIES
Tm 168.93 Tm.upf
Zr 91.22 Zr.upf
Pb 207.20 Pb.upf
Se 78.96 Se.upf
ATOMIC_POSITIONS crystal
Tm 0.0000 0.0000 0.0000
Tm 0.0000 0.0000 0.5000
Zr 0.3978 0.6022 0.7500
Zr 0.6022 0.3978 0.2500
Pb 0.2680 0.7320 0.2500
Pb 0.7320 0.2680 0.7500
Se 0.0267 0.9733 0.7500
Se 0.3629 0.6371 0.5153
Se 0.3629 0.6371 0.9847
Se 0.6371 0.3629 0.0153
Se 0.6371 0.3629 0.4847
Se 0.9733 0.0267 0.2500
CELL_PARAMETERS angstrom
1.9325 -7.4752 0.0000
1.9325 7.4752 0.0000
0.0000 0.0000 11.0883
! E above lowest polymorph = 0.00 eV/f.u.
! crystal system = orthorhombic
! theoretical density = 7.301 g/cm3
! energy = -5.63 eV per atom



[11]
! PBE HoIrNO, relaxed; values from VASP
&SYSTEM
  ibrav = 0, nat = 8, ntyp = 4
/
ATOMIC_SPECIES
Ho 164.93 Ho.upf
Ir 192.22 Ir.upf
N 14.01 N.upf
O 16.00 O.upf
ATOMIC_POSITIONS crystal
Ho 0.2500 0.7500 0.0000
Ho 0.7500 0.2500 0.0000
Ir 0.2500 0.2500 0.4975
Ir 0.7500 0.7500 0.5025
N 0.2500 0.2500 0.9972
N 0.7500 0.7500 0.0028
O 0.2500 0.7500 0.5000
O 0.7500 0.2500 0.5000
CELL_PARAMETERS angstrom
4.8839 0.0000 0.0000
0.0000 4.8839 0.0000
0.0000 0.0000 4.2727
! E above lowest polymorph = 2.96 eV/f.u.
! crystal system = tetragonal
! theoretical density = 12.616 g/cm3
! energy = -7.49 eV per atom



[12]
! PBE Re3AuSe5, relaxed; values from VASP
&SYSTEM
  ibrav = 0, nat = 9, ntyp = 3
/
ATOMIC_SPECIES
Re 186.21 Re.upf
Au 196.97 Au.upf
Se 78.96 Se.upf
ATOMIC_POSITIONS crystal
Re 0.0000 0.5000 0.0000
Re 0.5000 0.0000 0.0000
Re 0.5000 0.5000 0.0000
Au 0.0000 0.0000 0.5000
Se 0.0000 0.0000 0.0000
Se 0.3333 0.6667 0.2680
Se 0.3333 0.6667 0.7320
Se 0.6667 0.3333 0.2680
Se 0.6667 0.3333 0.7320
CELL_PARAMETERS angstrom
5.6135 0.0000 0.0000
-2.8067 4.8614 0.0000
0.0000 0.0000 7.2365
! crystal system = hexagonal
! theoretical density = 9.673 g/cm3
! energy = -6.06 eV per atom



[13]
! PBE LiMg2PdAu4, relaxed; values from VASP
&SYSTEM
  ibrav = 0, nat = 8, ntyp = 4
/
ATOMIC_SPECIES
Li 6.94 Li.upf
Mg 24.30 Mg.upf
Pd 106.42 Pd.upf
Au 196.97 Au.upf
ATOMIC_POSITIONS crystal
Li 0.0000 0.0000 0.0000
Mg 0.0000 0.0000 0.5000
Mg 0.5000 0.5000 0.0000
Pd 0.5000 0.5000 0.5000
Au 0.0000 0.5000 0.2407
Au 0.0000 0.5000 0.7593
Au 0.5000 0.0000 0.2407
Au 0.5000 0.0000 0.7593
CELL_PARAMETERS angstrom
4.2557 0.0000 0.0000
0.0000 4.2557 0.0000
0.0000 0.0000 7.4400
! crystal system = tetragonal
! theoretical density = 11.706 g/cm3
! energy = -3.44 eV per atom



[14]
! PBE KCuGeSe2S, relaxed; values from VASP
&SYSTEM
  ibrav = 0, nat = 12, ntyp = 5
/
ATOMIC_SPECIES
K 39.10 K.upf
Cu 63.55 Cu.upf
Ge 72.64 Ge.upf
Se 78.96 Se.upf
S 32.06 S.upf
ATOMIC_POSITIONS crystal
K 0.2328 0.7672 0.7500
K 0.7672 0.2328 0.2500
Cu 0.0446 0.9554 0.2500
Cu 0.9554 0.0446 0.7500
Ge 0.5000 0.5000 0.0000
Ge 0.5000 0.5000 0.5000
Se 0.1245 0.8755 0.0447
Se 0.1245 0.8755 0.4553
Se 0.8755 0.1245 0.5447
Se 0.8755 0.1245 0.9553
S 0.4525 0.5475 0.2500
S 0.5475 0.4525 0.7500
CELL_PARAMETERS angstrom
1.8555 -7.2572 0.0000
1.8555 7.2572 0.0000
0.0000 0.0000 10.3771
! crystal system = orthorhombic
! theoretical density = 4.341 g/cm3
! energy = -3.85 eV per atom



[15]
! PBE Dy2S3, relaxed; values from VASP
&SYSTEM
  ibrav = 0, nat = 20, ntyp = 2
/
ATOMIC_SPECIES
Dy 162.50 Dy.upf
S 32.06 S.upf
ATOMIC_POSITIONS crystal
Dy 0.0100 0.2500 0.1868
Dy 0.1921 0.2500 0.5038
Dy 0.3079 0.7500 0.0038
Dy 0.4900 0.7500 0.6868
Dy 0.5100 0.2500 0.3132
Dy 0.6921 0.2500 0.9962
Dy 0.8079 0.7500 0.4962
Dy 0.9900 0.7500 0.8132
S 0.0457 0.7500 0.3734
S 0.1194 0.2500 0.9445
S 0.2278 0.7500 0.6960
S 0.2722 0.2500 0.1960
S 0.3806 0.7500 0.4445
S 0.4543 0.2500 0.8734
S 0.5457 0.7500 0.1266
S 0.6194 0.2500 0.5555
S 0.7278 0.7500 0.8040
S 0.7722 0.2500 0.3040
S 0.8806 0.7500 0.0555
S 0.9543 0.2500 0.6266
CELL_PARAMETERS angstrom
10.6420 0.0000 0.0000
0.0000 3.8696 0.0000
0.0000 0.0000 10.4589
! crystal system = orthorhombic
! theoretical density = 6.496 g/cm3
! energy = -6.39 eV per atom



[16]
! PBE CsTcAgS3, relaxed; values from VASP
&SYSTEM
  ibrav = 0, nat = 24, ntyp = 4
/
ATOMIC_SPECIES
Cs 132.91 Cs.upf
Tc 98.00 Tc.upf
Ag 107.87 Ag.upf
S 32.06 S.upf
ATOMIC_POSITIONS crystal
Cs 0.2349 0.2500 0.0520
Cs 0.2651 0.7500 0.5520
Cs 0.7349 0.2500 0.4480
Cs 0.7651 0.7500 0.9480
Tc 0.0143 0.2500 0.3447
Tc 0.4857 0.7500 0.8447
Tc 0.5143 0.2500 0.1553
Tc 0.9857 0.7500 0.6553
Ag 0.0166 0.7500 0.0968
Ag 0.4834 0.2500 0.5968
Ag 0.5166 0.7500 0.4032
Ag 0.9834 0.2500 0.9032
S 0.0734 0.2500 0.5665
S 0.0868 0.7500 0.8409
S 0.1154 0.7500 0.2893
S 0.3846 0.2500 0.7893
S 0.4132 0.2500 0.3409
S 0.4266 0.7500 0.0665
S 0.5734 0.2500 0.9335
S 0.5868 0.7500 0.6591
S 0.6154 0.7500 0.2107
S 0.8846 0.2500 0.7107
S 0.9132 0.2500 0.1591
S 0.9266 0.7500 0.4335
CELL_PARAMETERS angstrom
15.4045 0.0000 0.0000
0.0000 3.7770 0.0000
0.0000 0.0000 10.2095
! E above lowest polymorph = 0.00 eV/f.u.
! crystal system = orthorhombic
! theoretical density = 4.864 g/cm3
! energy = -4.84 eV per atom



[17]
! PBE Fe2PdI4Br4, relaxed; values from VASP
&SYSTEM
  ibrav = 0, nat = 11, ntyp = 4
/
ATOMIC_SPECIES
Fe 55.84 Fe.upf
Pd 106.42 Pd.upf
I 126.90 I.upf
Br 79.90 Br.upf
ATOMIC_POSITIONS crystal
Fe 0.2067 0.2067 0.3479
Fe 0.7933 0.7933 0.6521
Pd 0.0000 0.0000 0.0000
I 0.0961 0.6843 0.8310
I 0.3157 0.9039 0.1690
I 0.6843 0.0961 0.8310
I 0.9039 0.3157 0.1690
Br 0.1841 0.1841 0.6596
Br 0.3728 0.3728 0.3007
Br 0.6272 0.6272 0.6993
Br 0.8159 0.8159 0.3404
CELL_PARAMETERS angstrom
6.7363 -4.7016 0.0000
6.7363 4.7016 0.0000
-0.7510 0.0000 7.2209
! E above lowest polymorph = 0.00 eV/f.u.
! crystal system = monoclinic
! theoretical density = 3.795 g/cm3
! energy = -3.47 eV per atom



[18]
! PBE HoBiMo, relaxed; values from VASP
&SYSTEM
  ibrav = 0, nat = 3, ntyp = 3
/
ATOMIC_SPECIES
Ho 164.93 Ho.upf
Bi 208.98 Bi.upf
Mo 95.94 Mo.upf
ATOMIC_POSITIONS crystal
Ho 0.0000 0.0000 0.0000
Bi 0.7500 0.7500 0.7500
Mo 0.2500 0.2500 0.2500
CELL_PARAMETERS angstrom
0.0000 3.5504 3.5504
3.5504 0.0000 3.5504
3.5504 3.5504 0.0000
! E above lowest polymorph = 1.47 eV/f.u.
! crystal system = cubic
! theoretical density = 8.717 g/cm3
! energy = -5.53 eV per atom



[19]
! PBE Ho2TmIn3Pt2Au, relaxed; values from VASP
&SYSTEM
  ibrav = 0, nat = 9, ntyp = 5
/
ATOMIC_SPECIES
Ho 164.93 Ho.upf
Tm 168.93 Tm.upf
In 114.82 In.upf
Pt 195.08 Pt.upf
Au 196.97 Au.upf
ATOMIC_POSITIONS crystal
Ho 0.0000 0.2036 0.7964
Ho 0.0000 0.7964 0.2036
Tm 0.0000 0.6111 0.6111
In 0.5000 0.2041 0.4737
In 0.5000 0.4737 0.2041
In 0.5000 0.9333 0.9333
Pt 0.5000 0.5374 0.8691
Pt 0.5000 0.8691 0.5374
Au 0.0000 0.2041 0.2041
CELL_PARAMETERS angstrom
3.7661 0.0000 0.0000
0.0000 6.7295 3.8916
0.0000 -6.7295 3.8916
! crystal system = orthorhombic
! theoretical density = 12.041 g/cm3
! energy = -5.05 eV per atom



[20]
! PBE ZnAg2Au, relaxed; values from VASP
&SYSTEM
  ibrav = 0, nat = 4, ntyp = 3
/
ATOMIC_SPECIES
Zn 65.41 Zn.upf
Ag 107.87 Ag.upf
Au 196.97 Au.upf
ATOMIC_POSITIONS crystal
Zn 0.0000 0.0000 0.0000
Ag 0.5000 0.5000 0.5000
Ag 0.7500 0.7500 0.7500
Au 0.2500 0.2500 0.2500
CELL_PARAMETERS angstrom
0.0000 3.2515 3.2515
3.2515 0.0000 3.2515
3.2515 3.2515 0.0000
! crystal system = cubic
! theoretical density = 11.548 g/cm3
! energy = -2.62 eV per atom
! DFT formation energy = -7.3 kJ/mol of atoms